(1)
# Tb3GeSe6

A relaxed structure of Tb3GeSe6 (PBE, Alexandria).

The uncorrected formation energy is -1.425 eV per atom. As for the total magnetization: 0.0 μB/f.u.

The space group is Cmc2_1 (No. 36) and the conventional cell measures 11.2170, 13.9803 and 6.9036 Å, with angles of 90.00, 90.00 and 90.00 degrees. The distinct sites, in fractional coordinates, are Tb at (0.0000, 0.0963, 0.0000), Tb at (0.1844, 0.4022, 0.9063), Ge at (0.0000, 0.2992, 0.3653), Se at (0.0000, 0.2805, 0.7438), Se at (0.0000, 0.4658, 0.2096), Se at (0.1623, 0.0327, 0.7043) and Se at (0.1718, 0.2316, 0.1783).

***

(2)
# Tb8GeSe6

A relaxed structure of Tb8GeSe6 (PBE, Alexandria).

The uncorrected formation energy is -1.315 eV per atom. As for the total magnetization: 0.0 μB/f.u.

The space group is P-3 (No. 147) and the conventional cell measures 10.4494, 10.4494 and 4.0886 Å, with angles of 90.00, 90.00 and 120.00 degrees. The distinct sites, in fractional coordinates, are Tb at (0.0317, 0.7221, 0.2557), Tb at (0.3333, 0.6667, 0.7473), Ge at (0.0000, 0.0000, 0.5000) and Se at (0.1295, 0.4805, 0.2493).

***

(3)
# Tb5Ge2Se2

A relaxed structure of Tb5Ge2Se2 (PBE, Alexandria).

The uncorrected formation energy is -1.198 eV per atom. As for the total magnetization: 0.0 μB/f.u.

The space group is Cmce (No. 64) and the conventional cell measures 14.6480, 7.6728 and 7.7604 Å, with angles of 90.00, 90.00 and 90.00 degrees. The distinct sites, in fractional coordinates, are Tb at (0.0000, 0.0000, 0.0000), Tb at (0.1343, 0.1652, 0.3386), Ge at (0.0000, 0.1366, 0.6360) and Se at (0.1996, 0.0000, 0.0000).

***

(4)
# TbGe2Se4

A relaxed structure of TbGe2Se4 (PBE, Alexandria).

The uncorrected formation energy is -0.506 eV per atom. As for the total magnetization: 0.0 μB/f.u.

The space group is I4/m (No. 87) and the conventional cell measures 7.6681, 7.6681 and 6.8023 Å, with angles of 90.00, 90.00 and 90.00 degrees. The distinct sites, in fractional coordinates, are Tb at (0.0000, 0.0000, 0.0000), Ge at (0.0000, 0.5000, 0.2500) and Se at (0.1828, 0.3094, 0.5000).

***

(5)
# Tb3GeSe2

A relaxed structure of Tb3GeSe2 (PBE, Alexandria).

The uncorrected formation energy is -1.581 eV per atom. As for the total magnetization: 0.0 μB/f.u.

The space group is Immm (No. 71) and the conventional cell measures 4.1487, 5.8285 and 12.3904 Å, with angles of 90.00, 90.00 and 90.00 degrees. The distinct sites, in fractional coordinates, are Tb at (0.0000, 0.0000, 0.0000), Tb at (0.0000, 0.0000, 0.3405), Ge at (0.0000, 0.5000, 0.0000) and Se at (0.0000, 0.5000, 0.3317).

***

(6)
# Tb6GeSe12

A relaxed structure of Tb6GeSe12 (PBE, Alexandria).

The uncorrected formation energy is -1.422 eV per atom. As for the total magnetization: 0.0 μB/f.u.

The space group is R-3 (No. 148, hexagonal axes) and the conventional cell measures 12.3138, 12.3138 and 11.8052 Å, with angles of 90.00, 90.00 and 120.00 degrees. The distinct sites, in fractional coordinates, are Tb at (0.0479, 0.7723, 0.1371), Ge at (0.0000, 0.0000, 0.5000), Se at (0.0337, 0.8196, 0.8965) and Se at (0.0737, 0.8634, 0.3831).

***

(7)
# Tb5GeSe4

A relaxed structure of Tb5GeSe4 (PBE, Alexandria).

Its relative energy among the computed polymorphs is 0.0425 eV per atom. The uncorrected formation energy is -1.629 eV per atom. As for the total magnetization: 0.0 μB/f.u.

The space group is R-3m (No. 166, hexagonal axes) and the conventional cell measures 4.1341, 4.1341 and 50.2139 Å, with angles of 90.00, 90.00 and 120.00 degrees. The distinct sites, in fractional coordinates, are Tb at (0.0000, 0.0000, 0.0000), Tb at (0.0000, 0.0000, 0.1982), Tb at (0.0000, 0.0000, 0.3987), Ge at (0.0000, 0.0000, 0.5000), Se at (0.0000, 0.0000, 0.0988) and Se at (0.0000, 0.0000, 0.3004).

***

(8)
# Tb2GeSe

A relaxed structure of Tb2GeSe (PBE, Alexandria).

Its relative energy among the computed polymorphs is 0.1121 eV per atom. The uncorrected formation energy is -1.286 eV per atom. As for the total magnetization: 0.0 μB/f.u.

The space group is R3m (No. 160, hexagonal axes) and the conventional cell measures 4.1005, 4.1005 and 21.3677 Å, with angles of 90.00, 90.00 and 120.00 degrees. The distinct sites, in fractional coordinates, are Tb at (0.0000, 0.0000, 0.0000), Tb at (0.0000, 0.0000, 0.1802), Ge at (0.0000, 0.0000, 0.5908) and Se at (0.0000, 0.0000, 0.4211).

***

no.,VASP energy (eV for the cell shown)
1,-214.66
2,-82.30
3,-200.55
4,-62.69
5,-69.93
6,-303.68
7,-173.98
8,-67.52